A plane-wave DFT calculation with PBE was carried out for CeDyBrN2 after structural relaxation.

```
CeDyBrN2
1.0
7.0523 0.0000 0.0000
0.0000 4.1740 0.0000
-2.5637 0.0000 7.5070
Ce Dy Br N
2 2 2 4
Cartesian
-0.0069 1.0435 3.1008 Ce
4.4955 3.1305 4.4063 Ce
-1.3283 1.0435 6.9107 Dy
5.8169 3.1305 0.5963 Dy
1.4124 3.1305 5.6796 Br
3.0762 1.0435 1.8275 Br
-2.1832 3.1305 6.5373 N
-0.8549 3.1305 2.8980 N
5.3435 1.0435 4.6091 N
6.6718 1.0435 0.9698 N
```

Calculated values
SG   P2_1/m (11)
Total magnetization   0.00 Bohr magnetons per cell
Uncorrected energy   -7.423 eV per atom

A plane-wave DFT calculation with PBE was carried out for Ac3Pr4In2 after structural relaxation.

```
Ac3Pr4In2
1.0
5.8090 0.0000 0.0000
2.8997 6.1838 0.0000
0.0193 2.3573 9.0535
Ac Pr In
3 4 2
Cartesian
0.0000 0.0000 0.0000 Ac
2.9099 2.2241 6.0746 Ac
5.8182 6.3169 2.9789 Ac
2.9072 5.9262 5.5530 Pr
2.9235 4.7224 8.8811 Pr
5.8045 3.8186 0.1723 Pr
5.8208 2.6148 3.5004 Pr
2.9149 3.9682 2.7413 In
5.8131 4.5728 6.3122 In
```

Calculated values
DOS(E_F)   11.33 states/eV/cell
SG   P-1 (2)
Total magnetization   0.00 Bohr magnetons per cell
Uncorrected energy   -4.273 eV per atom
Calculated formation energy   -0.17 eV/atom

A plane-wave DFT calculation with PBE was carried out for HoHf3Al8 after structural relaxation.

```
HoHf3Al8
1.0
2.6701 1.5416 8.7387
-2.6701 1.5416 8.7387
0.0000 -3.0832 8.7387
Ho Hf Al
1 3 8
Cartesian
0.0000 0.0000 0.0000 Ho
0.0000 0.0000 3.3135 Hf
0.0000 0.0000 13.1254 Hf
0.0000 0.0000 16.3204 Hf
0.0000 -1.5346 5.9725 Al
-1.3290 0.7673 5.9725 Al
-1.3321 -0.7691 10.4223 Al
0.0000 0.0000 8.1824 Al
1.3290 0.7673 5.9725 Al
1.3321 -0.7691 10.4223 Al
0.0000 1.5381 10.4223 Al
0.0000 0.0000 21.3083 Al
```

Calculated values
DOS(E_F)   2.65 states/eV/cell
SG   R3m (160)
Total magnetization   0.00 Bohr magnetons per cell
Uncorrected energy   -5.813 eV per atom
Calculated formation energy   -0.45 eV/atom